First-principles (GGA-PBE) data for a relaxed Y8ZnSe4S3 crystal, as listed in the Alexandria database.

Structure (POSCAR):
```
Y8ZnSe4S3
1.0
4.012 2.316 6.667
-4.012 2.316 6.667
0.000 -4.633 6.667
Y Zn Se S
8 1 4 3
Direct
0.242 0.242 0.242 Y
0.244 0.745 0.745 Y
0.255 0.255 0.756 Y
0.255 0.756 0.255 Y
0.745 0.244 0.745 Y
0.745 0.745 0.244 Y
0.756 0.255 0.255 Y
0.758 0.758 0.758 Y
0.500 0.500 0.500 Zn
0.000 0.000 0.000 Se
0.000 0.500 0.500 Se
0.500 0.000 0.500 Se
0.500 0.500 0.000 Se
0.000 0.000 0.500 S
0.000 0.500 0.000 S
0.500 0.000 0.000 S
```

SG: R-3m, No. 166
VASP energy, eV/atom: -6.64
Magnetization, μB per formula unit: 0.00